No. 1
BaFeSe2: relaxed, GGA-PBE. Values from VASP.

Structure (Quantum ESPRESSO input):
```
&SYSTEM
  ibrav = 0, nat = 4, ntyp = 3
/
ATOMIC_SPECIES
Ba 137.33 Ba.upf
Fe 55.84 Fe.upf
Se 78.96 Se.upf
ATOMIC_POSITIONS angstrom
Ba 0.000 0.000 0.000
Fe 0.000 0.000 9.802
Se 0.000 0.000 4.329
Se 0.000 0.000 15.275
CELL_PARAMETERS angstrom
1.998 1.154 6.535
-1.998 1.154 6.535
0.000 -2.307 6.535
```

Computed properties:
For the density of states at the Fermi level, the calculation gives 0.11 states/eV/f.u. The value obtained for the total moment is 0.000 μB per atom. For the energy relative to the elements, uncorrected, the calculation gives -0.701 eV/atom.

No. 2
BaFeSe: relaxed, GGA-PBE. Values from VASP.

Structure (Quantum ESPRESSO input):
```
&SYSTEM
  ibrav = 0, nat = 3, ntyp = 3
/
ATOMIC_SPECIES
Ba 137.33 Ba.upf
Fe 55.84 Fe.upf
Se 78.96 Se.upf
ATOMIC_POSITIONS angstrom
Ba 0.000 0.000 0.000
Fe 1.674 1.674 1.674
Se 3.349 3.349 3.349
CELL_PARAMETERS angstrom
0.000 3.349 3.349
3.349 0.000 3.349
3.349 3.349 0.000
```

Computed properties:
For the density of states at the Fermi level, the calculation gives 5.02 states/eV/f.u. The value obtained for the total moment is 0.708 μB per atom. For the energy relative to the elements, uncorrected, the calculation gives -0.016 eV/atom.

No. 3
BaFeSe2: relaxed, GGA-PBE. Values from VASP.

Structure (Quantum ESPRESSO input):
```
&SYSTEM
  ibrav = 0, nat = 4, ntyp = 3
/
ATOMIC_SPECIES
Ba 137.33 Ba.upf
Fe 55.84 Fe.upf
Se 78.96 Se.upf
ATOMIC_POSITIONS angstrom
Ba 0.000 0.000 0.000
Fe 2.013 0.000 3.512
Se 1.857 1.873 5.187
Se 2.168 1.873 1.838
CELL_PARAMETERS angstrom
4.329 0.000 0.000
0.000 3.745 0.000
-0.304 0.000 7.025
```

Computed properties:
For the density of states at the Fermi level, the calculation gives 3.31 states/eV/f.u. The value obtained for the total moment is 0.859 μB per atom. For the energy relative to the elements, uncorrected, the calculation gives -0.811 eV/atom.

No. 4
BaFeSe2: relaxed, GGA-PBE. Values from VASP.

Structure (Quantum ESPRESSO input):
```
&SYSTEM
  ibrav = 0, nat = 4, ntyp = 3
/
ATOMIC_SPECIES
Ba 137.33 Ba.upf
Fe 55.84 Fe.upf
Se 78.96 Se.upf
ATOMIC_POSITIONS angstrom
Ba 0.000 0.000 0.000
Fe 1.857 0.000 3.635
Se 0.000 0.000 5.446
Se 0.000 1.995 2.608
CELL_PARAMETERS angstrom
-1.857 1.995 7.118
1.857 -1.995 7.118
1.857 1.995 -7.118
```

Computed properties:
For the density of states at the Fermi level, the calculation gives 3.38 states/eV/f.u. The value obtained for the total moment is 0.980 μB per atom. For the energy relative to the elements, uncorrected, the calculation gives -0.639 eV/atom.

No. 5
BaFe2Se3: relaxed, GGA-PBE. Values from VASP.

Structure (Quantum ESPRESSO input):
```
&SYSTEM
  ibrav = 0, nat = 24, ntyp = 3
/
ATOMIC_SPECIES
Ba 137.33 Ba.upf
Fe 55.84 Fe.upf
Se 78.96 Se.upf
ATOMIC_POSITIONS angstrom
Ba 2.216 1.349 0.246
Ba 3.855 4.048 4.864
Ba 8.286 1.349 4.371
Ba 9.925 4.048 8.989
Fe 0.099 0.002 3.343
Fe 0.099 2.696 3.343
Fe 5.972 5.395 7.961
Fe 5.972 2.701 7.961
Fe 6.169 0.002 1.274
Fe 6.169 2.696 1.274
Fe 12.042 5.395 5.892
Fe 12.042 2.701 5.892
Se 1.071 4.048 7.545
Se 1.618 1.349 4.749
Se 1.767 4.048 2.211
Se 4.304 1.349 6.829
Se 4.452 4.048 0.132
Se 4.999 1.349 2.927
Se 7.141 4.048 6.307
Se 7.689 1.349 9.103
Se 7.837 4.048 2.406
Se 10.374 1.349 7.024
Se 10.522 4.048 4.486
Se 11.070 1.349 1.690
CELL_PARAMETERS angstrom
12.141 0.000 0.000
0.000 5.397 0.000
0.000 0.000 9.235
```

Computed properties:
For the density of states at the Fermi level, the calculation gives 2.67 states/eV/f.u. The value obtained for the total moment is 1.165 μB per atom. For the energy relative to the elements, uncorrected, the calculation gives -0.806 eV/atom.

No. 6
BaFe2Se3: relaxed, GGA-PBE. Values from VASP.

Structure (Quantum ESPRESSO input):
```
&SYSTEM
  ibrav = 0, nat = 12, ntyp = 3
/
ATOMIC_SPECIES
Ba 137.33 Ba.upf
Fe 55.84 Fe.upf
Se 78.96 Se.upf
ATOMIC_POSITIONS angstrom
Ba 4.553 3.606 4.037
Ba 4.553 -3.606 1.346
Fe 3.253 0.000 0.000
Fe 3.253 0.000 2.691
Fe 5.853 0.000 0.000
Fe 5.853 0.000 2.691
Se 1.895 1.268 4.037
Se 1.895 -1.268 1.346
Se 4.553 1.334 1.346
Se 4.553 -1.334 4.037
Se 7.210 1.268 4.037
Se 7.210 -1.268 1.346
CELL_PARAMETERS angstrom
4.553 -5.580 0.000
4.553 5.580 0.000
0.000 0.000 5.383
```

Computed properties:
For the density of states at the Fermi level, the calculation gives 2.56 states/eV/f.u. The value obtained for the total moment is 0.000 μB per atom. For the energy relative to the elements, uncorrected, the calculation gives -0.767 eV/atom.

No. 7
BaFeSe2: relaxed, GGA-PBE. Values from VASP.

Structure (Quantum ESPRESSO input):
```
&SYSTEM
  ibrav = 0, nat = 4, ntyp = 3
/
ATOMIC_SPECIES
Ba 137.33 Ba.upf
Fe 55.84 Fe.upf
Se 78.96 Se.upf
ATOMIC_POSITIONS angstrom
Ba 0.000 0.000 0.000
Fe 2.157 0.000 2.970
Se 0.000 0.000 5.941
Se 0.000 2.157 2.970
CELL_PARAMETERS angstrom
-2.157 2.157 5.941
2.157 -2.157 5.941
2.157 2.157 -5.941
```

Computed properties:
For the density of states at the Fermi level, the calculation gives 5.47 states/eV/f.u. The value obtained for the total moment is 0.971 μB per atom. For the energy relative to the elements, uncorrected, the calculation gives -0.233 eV/atom.

No. 8
BaFeSe2: relaxed, GGA-PBE. Values from VASP.

Structure (Quantum ESPRESSO input):
```
&SYSTEM
  ibrav = 0, nat = 4, ntyp = 3
/
ATOMIC_SPECIES
Ba 137.33 Ba.upf
Fe 55.84 Fe.upf
Se 78.96 Se.upf
ATOMIC_POSITIONS angstrom
Ba 0.000 0.000 0.000
Fe 3.690 3.690 3.690
Se 1.845 1.845 1.845
Se 5.535 5.535 5.535
CELL_PARAMETERS angstrom
0.000 3.690 3.690
3.690 0.000 3.690
3.690 3.690 0.000
```

Computed properties:
For the density of states at the Fermi level, the calculation gives 9.13 states/eV/f.u. The value obtained for the total moment is 0.968 μB per atom. For the energy relative to the elements, uncorrected, the calculation gives -0.435 eV/atom.

No. 9
BaFeSe2: relaxed, GGA-PBE. Values from VASP.

Structure (Quantum ESPRESSO input):
```
&SYSTEM
  ibrav = 0, nat = 4, ntyp = 3
/
ATOMIC_SPECIES
Ba 137.33 Ba.upf
Fe 55.84 Fe.upf
Se 78.96 Se.upf
ATOMIC_POSITIONS angstrom
Ba 0.000 0.000 0.000
Fe 1.847 1.847 1.847
Se 3.694 3.694 3.694
Se 5.542 5.542 5.542
CELL_PARAMETERS angstrom
0.000 3.694 3.694
3.694 0.000 3.694
3.694 3.694 0.000
```

Computed properties:
For the density of states at the Fermi level, the calculation gives 7.11 states/eV/f.u. The value obtained for the total moment is 0.969 μB per atom. For the energy relative to the elements, uncorrected, the calculation gives 0.075 eV/atom.

No. 10
BaFeSe: relaxed, GGA-PBE. Values from VASP.

Structure (Quantum ESPRESSO input):
```
&SYSTEM
  ibrav = 0, nat = 3, ntyp = 3
/
ATOMIC_SPECIES
Ba 137.33 Ba.upf
Fe 55.84 Fe.upf
Se 78.96 Se.upf
ATOMIC_POSITIONS angstrom
Ba 0.000 0.000 0.000
Fe 0.000 0.000 8.104
Se 0.000 0.000 3.216
CELL_PARAMETERS angstrom
-1.810 1.810 5.707
1.810 -1.810 5.707
1.810 1.810 -5.707
```

Computed properties:
For the density of states at the Fermi level, the calculation gives 3.31 states/eV/f.u. The value obtained for the total moment is 0.876 μB per atom. For the energy relative to the elements, uncorrected, the calculation gives -0.162 eV/atom.

No. 11
BaFeSe2: relaxed, GGA-PBE. Values from VASP.

Structure (Quantum ESPRESSO input):
```
&SYSTEM
  ibrav = 0, nat = 4, ntyp = 3
/
ATOMIC_SPECIES
Ba 137.33 Ba.upf
Fe 55.84 Fe.upf
Se 78.96 Se.upf
ATOMIC_POSITIONS angstrom
Ba 0.000 0.000 0.000
Fe 0.000 0.000 4.168
Se 1.920 0.000 2.676
Se 0.000 3.227 1.492
CELL_PARAMETERS angstrom
-1.920 3.227 4.168
1.920 -3.227 4.168
1.920 3.227 -4.168
```

Computed properties:
For the density of states at the Fermi level, the calculation gives 1.80 states/eV/f.u. The value obtained for the total moment is 0.497 μB per atom. For the energy relative to the elements, uncorrected, the calculation gives -0.793 eV/atom.

No. 12
Ba2FeSiSe: relaxed, GGA-PBE. Values from VASP.

Structure (Quantum ESPRESSO input):
```
&SYSTEM
  ibrav = 0, nat = 5, ntyp = 4
/
ATOMIC_SPECIES
Ba 137.33 Ba.upf
Fe 55.84 Fe.upf
Si 28.09 Si.upf
Se 78.96 Se.upf
ATOMIC_POSITIONS angstrom
Ba 0.000 2.890 0.000
Ba 2.890 0.000 0.000
Fe 0.000 0.000 0.000
Si 0.000 0.000 2.193
Se 2.890 2.890 2.193
CELL_PARAMETERS angstrom
5.781 0.000 0.000
0.000 5.781 0.000
0.000 0.000 4.386
```

Computed properties:
For the density of states at the Fermi level, the calculation gives 2.67 states/eV/f.u. The value obtained for the total moment is 0.153 μB per atom. For the energy relative to the elements, uncorrected, the calculation gives -0.466 eV/atom.